(1)
# Sr2LaTe4

A relaxed structure of Sr2LaTe4 (GGA-PBE, Alexandria).

a b c (Å): 9.361 9.361 9.361
angles (deg): 141.98 141.98 54.86
Fractional positions:
Sr: 0.123 0.123 0.000
Sr: 0.877 0.877 0.000
La: 0.500 0.500 0.000
Te: 0.000 0.500 0.500
Te: 0.311 0.311 0.000
Te: 0.500 0.000 0.500
Te: 0.689 0.689 0.000

Computed properties:
M_tot = 0.00 μB per cell
DFT total energy = -29.2 eV/cell

(2)
# SrLaTe3

A relaxed structure of SrLaTe3 (GGA-PBE, Alexandria).

a b c (Å): 6.107 6.107 6.107
angles (deg): 90.00 90.00 90.00
Fractional positions:
Sr: 0.000 0.000 0.000
La: 0.500 0.500 0.500
Te: 0.000 0.500 0.500
Te: 0.500 0.000 0.500
Te: 0.500 0.500 0.000

Computed properties:
M_tot = 0.00 μB per cell
DFT total energy = -20.8 eV/cell
excess energy over the best structure of this formula in the dataset = 0 meV per atom

What did the second record say?
# SrLaTe3

A relaxed structure of SrLaTe3 (GGA-PBE, Alexandria).

a b c (Å): 6.107 6.107 6.107
angles (deg): 90.00 90.00 90.00
Fractional positions:
Sr: 0.000 0.000 0.000
La: 0.500 0.500 0.500
Te: 0.000 0.500 0.500
Te: 0.500 0.000 0.500
Te: 0.500 0.500 0.000

Computed properties:
M_tot = 0.00 μB per cell
DFT total energy = -20.8 eV/cell
excess energy over the best structure of this formula in the dataset = 0 meV per atom

> Look up the M_tot of the second one.

0.00 μB per cell

Please write out number 2 again, unchanged.
# SrLaTe3

A relaxed structure of SrLaTe3 (GGA-PBE, Alexandria).

a b c (Å): 6.107 6.107 6.107
angles (deg): 90.00 90.00 90.00
Fractional positions:
Sr: 0.000 0.000 0.000
La: 0.500 0.500 0.500
Te: 0.000 0.500 0.500
Te: 0.500 0.000 0.500
Te: 0.500 0.500 0.000

Computed properties:
M_tot = 0.00 μB per cell
DFT total energy = -20.8 eV/cell
excess energy over the best structure of this formula in the dataset = 0 meV per atom